(1)
Computed, not measured: an optimized crystal structure of La2PrSn at the PBE-GGA level of DFT.

a b c (Å): 3.7977 3.7977 11.3534
angles (deg): 80.37 80.37 60.00
Closest atoms and distances in Å follow each position.
Fractional positions:
Sn 0.6663 0.6663 0.0010  6 La 3.35-3.37
La 0.2573 0.2573 0.2282  3 Sn 3.35, 3 Pr 3.73
La 0.0761 0.0761 0.7717  3 Sn 3.37, 3 Pr 3.75
Pr 0.5003 0.5003 0.4991  6 La 3.73-3.75, 6 Pr 3.80

Calculated values
Formation energy from the elements ... -0.208 eV per atom
Total moment ... 0.0 μB/cell
Calculated volume ... 34.8 Å³ per atom



(2)
Computed, not measured: an optimized crystal structure of AcHfBi2 at the PBE-GGA level of DFT.

a b c (Å): 3.5017 5.8821 5.8821
angles (deg): 90.00 90.00 90.00
Closest atoms and distances in Å follow each position.
Fractional positions:
Bi 0.0000 0.5000 0.0000  4 Hf 3.42, 4 Ac 3.42, 2 Bi 3.50
Bi 0.0000 0.0000 0.5000  4 Hf 3.42, 4 Ac 3.42, 2 Bi 3.50
Hf 0.5000 0.0000 0.0000  8 Bi 3.42, 2 Hf 3.50
Ac 0.5000 0.5000 0.5000  8 Bi 3.42, 2 Ac 3.50

Calculated values
Formation energy from the elements ... -0.170 eV per atom
Total moment ... 0.0 μB/cell
Calculated volume ... 30.3 Å³ per atom



(3)
Computed, not measured: an optimized crystal structure of NaTc2S2 at the PBE-GGA level of DFT.

a b c (Å): 4.5568 4.5568 5.2556
angles (deg): 64.31 64.31 90.00
Closest atoms and distances in Å follow each position.
Fractional positions:
S 0.2500 0.7500 0.5000  4 Tc 2.46
S 0.7500 0.2500 0.5000  4 Tc 2.46
Na 0.0000 0.0000 0.0000  2 Tc 3.01, 8 S 3.08
Tc 0.6379 0.6379 0.7241  1 Tc 2.29, 4 S 2.46
Tc 0.3621 0.3621 0.2759  1 Tc 2.29, 4 S 2.46

Calculated values
Total moment ... 0.0 μB/cell
Energy relative to the elements, uncorrected ... -0.4 eV/f.u.
Calculated volume ... 17.2 Å³ per atom



(4)
Computed, not measured: an optimized crystal structure of MnFe2Ni at the PBE-GGA level of DFT.

a b c (Å): 8.3474 8.3474 8.3474
angles (deg): 17.09 17.09 17.09
Closest atoms and distances in Å follow each position.
Fractional positions:
Mn 0.2500 0.2500 0.2500  6 Mn 2.48, 6 Fe 2.49
Fe 0.5007 0.5007 0.5007  6 Fe 2.48, 3 Mn 2.49, 3 Ni 2.52
Fe 0.9993 0.9993 0.9993  6 Fe 2.48, 3 Mn 2.49, 3 Ni 2.52
Ni 0.7500 0.7500 0.7500  6 Ni 2.48, 6 Fe 2.52

Calculated values
Formation energy from the elements ... 0.057 eV per atom
Total moment ... 3.0 μB/cell
Calculated volume ... 11.0 Å³ per atom



(5)
Computed, not measured: an optimized crystal structure of BaCaTe at the PBE-GGA level of DFT.

a b c (Å): 5.3423 5.3423 4.8470
angles (deg): 90.00 90.00 120.00
Closest atoms and distances in Å follow each position.
Fractional positions:
Ca 0.6667 0.3333 0.5000  3 Te 3.08
Te 0.3333 0.6667 0.5003  3 Ca 3.08
Ba 0.0000 0.0000 0.9997  6 Te 3.92, 6 Ca 3.92

Calculated values
Total moment ... 0.0 μB/cell
Energy relative to the elements, uncorrected ... -2.7 eV/f.u.
Calculated volume ... 39.9 Å³ per atom



(6)
Computed, not measured: an optimized crystal structure of AlOs2W at the PBE-GGA level of DFT.

a b c (Å): 9.0100 9.0100 9.0100
angles (deg): 17.81 17.81 17.81
Closest atoms and distances in Å follow each position.
Fractional positions:
Os 0.9996 0.9996 0.9996  9 Os 2.69-2.79, 3 Al 2.70
Os 0.2520 0.2520 0.2520  9 Os 2.69-2.79, 3 W 2.76
W 0.5010 0.5010 0.5010  3 Os 2.76, 6 W 2.79, 3 Al 2.81
Al 0.7475 0.7475 0.7475  3 Os 2.70, 6 Al 2.79, 3 W 2.81

Calculated values
Formation energy from the elements ... 0.071 eV per atom
Total moment ... 0.0 μB/cell
Calculated volume ... 14.9 Å³ per atom